Below is a geometry-optimized DyGa5Tc2 structure, with properties calculated at the PBE level.

Output
volume	17.97	A^3/atom
space-group type	Immm, No. 71
final energy	-5.287	eV/atom
E_form	-0.23	eV per atom

Unit cell a=3.5189 b=8.0166 c=10.1908 alpha=90.00 beta=90.00 gamma=90.00
Element x y z (fractional)
Dy 0.0000 0.0000 0.0000
Dy 0.5000 0.5000 0.5000
Ga 0.0000 0.2122 0.3515
Ga 0.0000 0.2122 0.6485
Ga 0.0000 0.5000 0.0000
Ga 0.0000 0.7878 0.3515
Ga 0.0000 0.7878 0.6485
Ga 0.5000 0.0000 0.5000
Ga 0.5000 0.2878 0.1485
Ga 0.5000 0.2878 0.8515
Ga 0.5000 0.7122 0.1485
Ga 0.5000 0.7122 0.8515
Tc 0.0000 0.5000 0.2416
Tc 0.0000 0.5000 0.7584
Tc 0.5000 0.0000 0.2584
Tc 0.5000 0.0000 0.7416


Below is a geometry-optimized Ca2BeAl structure, with properties calculated at the PBE level.

Output
volume	28.18	A^3/atom
space-group type	R3m, No. 160
final energy	-2.875	eV/atom
E_form	-0.01	eV per atom
excess energy over the best structure of this formula in the dataset	0.000	kcal/mol of atoms

Unit cell a=4.1602 b=4.1602 c=22.5636 alpha=90.00 beta=90.00 gamma=120.00
Element x y z (fractional)
Ca 0.0000 0.0000 0.0000
Ca 0.0000 0.0000 0.1798
Ca 0.3333 0.6667 0.6667
Ca 0.3333 0.6667 0.8465
Ca 0.6667 0.3333 0.3333
Ca 0.6667 0.3333 0.5132
Be 0.0000 0.0000 0.4226
Be 0.3333 0.6667 0.0893
Be 0.6667 0.3333 0.7560
Al 0.0000 0.0000 0.7569
Al 0.3333 0.6667 0.4236
Al 0.6667 0.3333 0.0902


Among the records above, which one has the lowest volume?
DyGa5Tc2


Among the records above, which one has the highest E_form?
Ca2BeAl


Which of these has the highest final energy?
Ca2BeAl